The following is a DFT calculation (GGA+U) of a relaxed NiSeF crystal.

Computed properties:
DFT total energy, eV per atom: -3.564

Cell: 6.0502 2.9187 12.2184 Å, 90.00 103.33 90.00°
Space group Pm (No. 6)
Asymmetric unit:
Ni  0.0000  0.0000  0.0000 (multiplicity 1)
Ni  0.0287  0.0000  0.5355 (multiplicity 1)
Ni  0.5033  0.5000  0.9934 (multiplicity 1)
Ni  0.5575  0.5000  0.5445 (multiplicity 1)
Se  0.2838  0.0000  0.3953 (multiplicity 1)
Se  0.2839  0.5000  0.6691 (multiplicity 1)
Se  0.3765  0.0000  0.1426 (multiplicity 1)
Se  0.7898  0.5000  0.3984 (multiplicity 1)
F  0.1338  0.5000  0.9192 (multiplicity 1)
F  0.6048  0.0000  0.9053 (multiplicity 1)
F  0.7627  0.0000  0.6253 (multiplicity 1)
F  0.8486  0.5000  0.0696 (multiplicity 1)